(1)
AcPS5 | PBE | relaxed

Lattice parameters (Å, degrees): 6.1160 7.0961 12.3798 61.16 72.86 49.93
With the nearest neighbours (Å) after each atom.
Element x y z (fractional)
Ac (0.5046, 0.2160, 0.2440)  8 S 3.03-3.15
S (0.9116, 0.7410, 0.1629)  1 P 2.19
S (0.7610, 0.2754, 0.6648)  1 S 2.04, 1 P 2.18
S (0.0884, 0.2589, 0.8371)  1 P 2.19
S (0.9202, 0.8814, 0.7665)  1 S 2.04
S (0.4400, 0.7123, 0.0320)  1 P 2.08
P (0.0000, 0.0000, 0.0000)  4 S 2.08-2.19
S (0.5600, 0.2877, 0.9680)  1 P 2.08
P (0.5000, 0.5000, 0.5000)  4 S 2.12-2.18
S (0.2390, 0.7245, 0.3352)  1 S 2.04, 1 P 2.18
S (0.0798, 0.1186, 0.2335)  1 S 2.04
Ac (0.4954, 0.7840, 0.7560)  8 S 3.03-3.15
S (0.5471, 0.1732, 0.5034)  1 P 2.12
S (0.4528, 0.8268, 0.4966)  1 P 2.12

(2)
Ac12P5S3 | PBE | relaxed

Lattice parameters (Å, degrees): 15.5919 15.5919 15.5919 109.47 109.47 109.47
With the nearest neighbours (Å) after each atom.
Element x y z (fractional)
Ac (0.0950, 0.9200, 0.3780)  2 P 2.83-2.98
S (0.1250, 0.8750, 0.7500)  8 Ac 3.33-3.51
P (0.0000, 0.0000, 0.0000)  6 Ac 2.98
P (0.5000, 0.0000, 0.5000)  6 Ac 2.98
S (0.1250, 0.2500, 0.8750)  8 Ac 3.33-3.51
Ac (0.6220, 0.5800, 0.9050)  2 P 2.83-2.98
Ac (0.9200, 0.8250, 0.5420)  2 P 2.83-2.98
Ac (0.8250, 0.9200, 0.0420)  2 P 2.83-2.98
Ac (0.5950, 0.8780, 0.4200)  2 P 2.83-2.98
P (0.3750, 0.2500, 0.1250)  4 Ac 2.83
P (0.5000, 0.5000, 0.5000)  6 Ac 2.98
Ac (0.1750, 0.0800, 0.9580)  2 P 2.83-2.98
P (0.5000, 0.5000, 0.0000)  6 Ac 2.98
Ac (0.7170, 0.5950, 0.1750)  2 P 2.83-2.98
Ac (0.4200, 0.0420, 0.3250)  2 P 2.83-2.98
Ac (0.2830, 0.4050, 0.8250)  2 P 2.83-2.98
Ac (0.4200, 0.3780, 0.5950)  2 P 2.83-2.98
Ac (0.6750, 0.2170, 0.5950)  2 P 2.83-2.98
Ac (0.5800, 0.6220, 0.4050)  2 P 2.83-2.98
P (0.1250, 0.3750, 0.2500)  4 Ac 2.83
Ac (0.3780, 0.9580, 0.7830)  2 P 2.83-2.98
Ac (0.4050, 0.2830, 0.3250)  2 P 2.83-2.98
Ac (0.3780, 0.4200, 0.0950)  2 P 2.83-2.98
Ac (0.4050, 0.1220, 0.5800)  2 P 2.83-2.98
Ac (0.8250, 0.9050, 0.2830)  2 P 2.83-2.98
Ac (0.8780, 0.5950, 0.9200)  2 P 2.83-2.98
Ac (0.0950, 0.1750, 0.2170)  2 P 2.83-2.98
Ac (0.0800, 0.1750, 0.4580)  2 P 2.83-2.98
Ac (0.6220, 0.0420, 0.2170)  2 P 2.83-2.98
P (0.8750, 0.6250, 0.7500)  4 Ac 2.83
P (0.1250, 0.7500, 0.3750)  4 Ac 2.83
Ac (0.5420, 0.2170, 0.1220)  2 P 2.83-2.98
S (0.3750, 0.6250, 0.2500)  8 Ac 3.33-3.51
P (0.8750, 0.2500, 0.6250)  4 Ac 2.83
Ac (0.2170, 0.5420, 0.6220)  2 P 2.83-2.98
S (0.6250, 0.2500, 0.3750)  8 Ac 3.33-3.51
Ac (0.9200, 0.0950, 0.8780)  2 P 2.83-2.98
P (0.3750, 0.1250, 0.7500)  4 Ac 2.83
Ac (0.7830, 0.4580, 0.3780)  2 P 2.83-2.98
P (0.0000, 0.5000, 0.5000)  6 Ac 2.98
S (0.2500, 0.1250, 0.3750)  8 Ac 3.33-3.51
S (0.3750, 0.7500, 0.6250)  8 Ac 3.33-3.51
Ac (0.7170, 0.1220, 0.0420)  2 P 2.83-2.98
Ac (0.2170, 0.6750, 0.0950)  2 P 2.83-2.98
Ac (0.9580, 0.5800, 0.1750)  2 P 2.83-2.98
Ac (0.9050, 0.0800, 0.6220)  2 P 2.83-2.98
Ac (0.4580, 0.6750, 0.0800)  2 P 2.83-2.98
Ac (0.1750, 0.0950, 0.7170)  2 P 2.83-2.98
S (0.2500, 0.6250, 0.8750)  8 Ac 3.33-3.51
P (0.6250, 0.8750, 0.2500)  4 Ac 2.83
P (0.7500, 0.6250, 0.3750)  4 Ac 2.83
P (0.2500, 0.8750, 0.1250)  4 Ac 2.83
Ac (0.0800, 0.9050, 0.1220)  2 P 2.83-2.98
Ac (0.3250, 0.7830, 0.4050)  2 P 2.83-2.98
Ac (0.1220, 0.7170, 0.5420)  2 P 2.83-2.98
Ac (0.8780, 0.2830, 0.4580)  2 P 2.83-2.98
Ac (0.4580, 0.7830, 0.8780)  2 P 2.83-2.98
Ac (0.7830, 0.3250, 0.9050)  2 P 2.83-2.98
P (0.0000, 0.5000, 0.0000)  6 Ac 2.98
Ac (0.5800, 0.9580, 0.6750)  2 P 2.83-2.98
S (0.8750, 0.1250, 0.2500)  8 Ac 3.33-3.51
Ac (0.2830, 0.8780, 0.9580)  2 P 2.83-2.98
Ac (0.0420, 0.6220, 0.7170)  2 P 2.83-2.98
P (0.6250, 0.7500, 0.8750)  4 Ac 2.83
P (0.5000, 0.0000, 0.0000)  6 Ac 2.98
Ac (0.1220, 0.4050, 0.0800)  2 P 2.83-2.98
Ac (0.3250, 0.5420, 0.4200)  2 P 2.83-2.98
P (0.7500, 0.1250, 0.8750)  4 Ac 2.83
Ac (0.0420, 0.4200, 0.8250)  2 P 2.83-2.98
Ac (0.5420, 0.3250, 0.9200)  2 P 2.83-2.98
Ac (0.6750, 0.4580, 0.5800)  2 P 2.83-2.98
Ac (0.9050, 0.8250, 0.7830)  2 P 2.83-2.98
S (0.7500, 0.3750, 0.1250)  8 Ac 3.33-3.51
S (0.7500, 0.8750, 0.6250)  8 Ac 3.33-3.51
P (0.2500, 0.3750, 0.6250)  4 Ac 2.83
S (0.6250, 0.3750, 0.7500)  8 Ac 3.33-3.51
P (0.0000, 0.0000, 0.5000)  6 Ac 2.98
Ac (0.5950, 0.7170, 0.6750)  2 P 2.83-2.98
S (0.8750, 0.7500, 0.1250)  8 Ac 3.33-3.51
Ac (0.9580, 0.3780, 0.2830)  2 P 2.83-2.98

(3)
Ac5P4S | PBE | relaxed

Lattice parameters (Å, degrees): 4.4264 6.2485 11.7037 105.48 100.90 90.00
With the nearest neighbours (Å) after each atom.
Element x y z (fractional)
Ac (0.2001, 0.7001, 0.4001)  6 P 3.12-3.16
P (0.8013, 0.8013, 0.6026)  6 Ac 3.06-3.15
S (0.0000, 0.0000, 0.0000)  6 Ac 3.12-3.17
P (0.4017, 0.4017, 0.8033)  6 Ac 3.10-3.16
Ac (0.7999, 0.2999, 0.5999)  6 P 3.12-3.16
Ac (0.6029, 0.1029, 0.2058)  4 P 3.06-3.13, 2 S 3.17
Ac (0.3971, 0.8971, 0.7942)  4 P 3.06-3.13, 2 S 3.17
P (0.5983, 0.5983, 0.1967)  6 Ac 3.10-3.16
P (0.1987, 0.1987, 0.3974)  6 Ac 3.06-3.15
Ac (0.0000, 0.5000, 0.0000)  4 P 3.10, 2 S 3.12

(4)
Ac3P2S | PBE | relaxed

Lattice parameters (Å, degrees): 4.4078 6.2288 7.6228 114.11 106.81 90.00
With the nearest neighbours (Å) after each atom.
Element x y z (fractional)
Ac (0.8299, 0.3299, 0.1597)  4 P 3.09-3.11, 2 S 3.15
P (0.1662, 0.1662, 0.8324)  6 Ac 3.09-3.11
Ac (0.1701, 0.6701, 0.8403)  4 P 3.09-3.11, 2 S 3.15
P (0.8338, 0.8338, 0.1676)  6 Ac 3.09-3.11
S (0.5000, 0.5000, 0.5000)  6 Ac 3.11-3.15
Ac (0.5000, 0.0000, 0.5000)  4 P 3.11, 2 S 3.11

(5)
AcP3S9 | PBE | relaxed

Lattice parameters (Å, degrees): 8.7852 8.7852 9.5013 90.00 90.00 106.50
With the nearest neighbours (Å) after each atom.
Element x y z (fractional)
S (0.3005, 0.0245, 0.5517)  1 P 1.99
S (0.7116, 0.3210, 0.9164)  1 P 1.96
S (0.0363, 0.2736, 0.0683)  2 P 2.08-2.21
S (0.6995, 0.9755, 0.0517)  1 P 1.99
S (0.3980, 0.3477, 0.1685)  1 P 2.05
Ac (0.6274, 0.6274, 0.0000)  8 S 2.98-3.17
P (0.2563, 0.2563, 0.0000)  4 S 2.05-2.08
S (0.2736, 0.0363, 0.9317)  2 P 2.08-2.21
S (0.9637, 0.7264, 0.5683)  2 P 2.08-2.21
Ac (0.3726, 0.3726, 0.5000)  8 S 2.98-3.17
S (0.2884, 0.6790, 0.4164)  1 P 1.96
P (0.1603, 0.8252, 0.0606)  3 S 1.96-2.16
P (0.1748, 0.8397, 0.4394)  3 S 1.96-2.16
P (0.8252, 0.1603, 0.9394)  3 S 1.96-2.16
S (0.3477, 0.3980, 0.8315)  1 P 2.05
P (0.8397, 0.1748, 0.5606)  3 S 1.96-2.16
S (0.0824, 0.9176, 0.2500)  2 P 2.16
S (0.6790, 0.2884, 0.5836)  1 P 1.96
S (0.6523, 0.6020, 0.3315)  1 P 2.05
S (0.7264, 0.9637, 0.4317)  2 P 2.08-2.21
S (0.9176, 0.0824, 0.7500)  2 P 2.16
S (0.9755, 0.6995, 0.9483)  1 P 1.99
S (0.6020, 0.6523, 0.6685)  1 P 2.05
S (0.3210, 0.7116, 0.0836)  1 P 1.96
P (0.7437, 0.7437, 0.5000)  4 S 2.05-2.08
S (0.0245, 0.3005, 0.4483)  1 P 1.99

(6)
Ac3PS2 | PBE | relaxed

Lattice parameters (Å, degrees): 4.3538 6.1461 7.5567 114.00 106.74 90.00
With the nearest neighbours (Å) after each atom.
Element x y z (fractional)
Ac (0.5000, 0.0000, 0.5000)  2 P 3.07, 4 S 3.08
S (0.1666, 0.1666, 0.8332)  6 Ac 3.07-3.11
Ac (0.1634, 0.6634, 0.8267)  2 P 3.05, 4 S 3.07-3.11
P (0.5000, 0.5000, 0.5000)  6 Ac 3.05-3.07
Ac (0.8366, 0.3366, 0.1733)  2 P 3.05, 4 S 3.07-3.11
S (0.8334, 0.8334, 0.1668)  6 Ac 3.07-3.11

The records above yield magnetic moment values of 0.0; 2.1; 0.0; 0.0; 0.0; 0.0 μB/f.u., respectively.
The records above yield formation energy (no corrections) values of -4.21; -15.89; -16.21; -10.26; -6.00; -11.28 eV/f.u., respectively.